Below is a crystal of Cu12Au17 relaxed with PBEsol, with properties calculated at the SCAN level. Values from VASP.

Values from the calculation:
- Space group: I-43m (217)
- ΔE_f: -17.2 meV/atom

The structure in Quantum ESPRESSO input format:
```
&SYSTEM
  ibrav = 0, nat = 29, ntyp = 2
/
ATOMIC_SPECIES
Cu 63.55 Cu.upf
Au 196.97 Au.upf
ATOMIC_POSITIONS crystal
Cu 0.000 0.630 0.814
Cu 0.000 0.814 0.630
Cu 0.184 0.370 0.370
Cu 0.186 0.186 0.816
Cu 0.186 0.816 0.186
Cu 0.370 0.184 0.370
Cu 0.370 0.370 0.184
Cu 0.630 0.000 0.814
Cu 0.630 0.814 0.000
Cu 0.814 0.000 0.630
Cu 0.814 0.630 0.000
Cu 0.816 0.186 0.186
Au 0.000 0.000 0.000
Au 0.000 0.000 0.330
Au 0.000 0.311 0.594
Au 0.000 0.330 0.000
Au 0.000 0.594 0.311
Au 0.283 0.689 0.689
Au 0.311 0.000 0.594
Au 0.311 0.594 0.000
Au 0.330 0.000 0.000
Au 0.406 0.406 0.717
Au 0.406 0.717 0.406
Au 0.594 0.000 0.311
Au 0.594 0.311 0.000
Au 0.670 0.670 0.670
Au 0.689 0.283 0.689
Au 0.689 0.689 0.283
Au 0.717 0.406 0.406
CELL_PARAMETERS angstrom
-4.749 4.749 4.749
4.749 -4.749 4.749
4.749 4.749 -4.749
```

=====

Below is a crystal of K4Cu4Cl10O relaxed with PBEsol, with properties calculated at the SCAN level. Values from VASP.

Values from the calculation:
- Raw formation energy: -1324 meV per atom
- Space group: C2/c (15)

The structure in Quantum ESPRESSO input format:
```
&SYSTEM
  ibrav = 0, nat = 38, ntyp = 4
/
ATOMIC_SPECIES
K 39.10 K.upf
Cu 63.55 Cu.upf
Cl 35.45 Cl.upf
O 16.00 O.upf
ATOMIC_POSITIONS crystal
K 0.049 0.205 0.122
K 0.205 0.049 0.622
K 0.217 0.471 0.618
K 0.471 0.217 0.118
K 0.529 0.783 0.882
K 0.783 0.529 0.382
K 0.795 0.951 0.378
K 0.951 0.795 0.878
Cu 0.142 0.731 0.370
Cu 0.262 0.548 0.112
Cu 0.269 0.858 0.130
Cu 0.452 0.738 0.388
Cu 0.548 0.262 0.612
Cu 0.731 0.142 0.870
Cu 0.738 0.452 0.888
Cu 0.858 0.269 0.630
Cl 0.009 0.241 0.474
Cl 0.085 0.915 0.250
Cl 0.096 0.510 0.265
Cl 0.230 0.675 0.917
Cl 0.236 0.356 0.954
Cl 0.241 0.009 0.974
Cl 0.325 0.770 0.583
Cl 0.356 0.236 0.454
Cl 0.476 0.524 0.250
Cl 0.490 0.904 0.235
Cl 0.510 0.096 0.765
Cl 0.524 0.476 0.750
Cl 0.644 0.764 0.546
Cl 0.675 0.230 0.417
Cl 0.759 0.991 0.026
Cl 0.764 0.644 0.046
Cl 0.770 0.325 0.083
Cl 0.904 0.490 0.735
Cl 0.915 0.085 0.750
Cl 0.991 0.759 0.526
O 0.286 0.714 0.250
O 0.714 0.286 0.750
CELL_PARAMETERS angstrom
7.245 -7.387 0.000
7.245 7.387 0.000
-2.009 0.000 8.483
```

=====

Below is a crystal of FeNiTeN2 relaxed with PBEsol, with properties calculated at the SCAN level. Values from VASP.

Values from the calculation:
- Raw formation energy: 868 meV per atom
- Space group: P4/mmm (123)

The structure in Quantum ESPRESSO input format:
```
&SYSTEM
  ibrav = 0, nat = 5, ntyp = 4
/
ATOMIC_SPECIES
Fe 55.84 Fe.upf
Ni 58.69 Ni.upf
Te 127.60 Te.upf
N 14.01 N.upf
ATOMIC_POSITIONS crystal
Fe 0.000 0.000 0.000
Ni 0.500 0.500 0.500
Te 0.000 0.000 0.500
N 0.000 0.500 0.000
N 0.500 0.000 0.000
CELL_PARAMETERS angstrom
3.514 0.000 0.000
0.000 3.514 0.000
0.000 0.000 5.500
```

=====

Below is a crystal of PrRe2 relaxed with PBEsol, with properties calculated at the SCAN level. Values from VASP.

Values from the calculation:
- Space group: P6_3/mmc (194)
- ΔE_f: 23.4 meV/atom

The structure in Quantum ESPRESSO input format:
```
&SYSTEM
  ibrav = 0, nat = 12, ntyp = 2
/
ATOMIC_SPECIES
Pr 140.91 Pr.upf
Re 186.21 Re.upf
ATOMIC_POSITIONS crystal
Pr 0.333 0.667 0.063
Pr 0.333 0.667 0.437
Pr 0.667 0.333 0.563
Pr 0.667 0.333 0.937
Re 0.000 0.000 0.000
Re 0.000 0.000 0.500
Re 0.170 0.339 0.750
Re 0.170 0.830 0.750
Re 0.339 0.170 0.250
Re 0.661 0.830 0.750
Re 0.830 0.170 0.250
Re 0.830 0.661 0.250
CELL_PARAMETERS angstrom
5.488 0.000 0.000
-2.744 4.753 0.000
0.000 0.000 8.800
```

=====

Below is a crystal of FeN2Cl relaxed with PBEsol, with properties calculated at the SCAN level. Values from VASP.

Values from the calculation:
- Raw formation energy: 1971 meV per atom
- Space group: R-3m (166)

The structure in Quantum ESPRESSO input format:
```
&SYSTEM
  ibrav = 0, nat = 4, ntyp = 3
/
ATOMIC_SPECIES
Fe 55.84 Fe.upf
N 14.01 N.upf
Cl 35.45 Cl.upf
ATOMIC_POSITIONS crystal
Fe 0.000 0.000 0.000
N 0.091 0.091 0.091
N 0.909 0.909 0.909
Cl 0.500 0.500 0.500
CELL_PARAMETERS angstrom
1.467 0.847 6.132
-1.467 0.847 6.132
0.000 -1.693 6.132
```

=====

Below is a crystal of Zn2SeO relaxed with PBEsol, with properties calculated at the SCAN level. Values from VASP.

Values from the calculation:
- Raw formation energy: -1102 meV per atom
- Space group: I-42d (122)

The structure in Quantum ESPRESSO input format:
```
&SYSTEM
  ibrav = 0, nat = 8, ntyp = 3
/
ATOMIC_SPECIES
Zn 65.41 Zn.upf
Se 78.96 Se.upf
O 16.00 O.upf
ATOMIC_POSITIONS crystal
Zn 0.052 0.625 0.927
Zn 0.375 0.302 0.427
Zn 0.698 0.125 0.073
Zn 0.875 0.948 0.573
Se 0.250 0.750 0.500
Se 0.500 0.500 0.000
O 0.000 0.000 0.000
O 0.750 0.250 0.500
CELL_PARAMETERS angstrom
-2.544 2.544 5.044
2.544 -2.544 5.044
2.544 2.544 -5.044
```

=====

Below is a crystal of Li7Mn2Co3O12 relaxed with PBEsol, with properties calculated at the SCAN level. Values from VASP.

Values from the calculation:
- Raw formation energy: -2032 meV per atom
- Space group: Pm (6)
- Polymorph energy (0 for the lowest one): 76 meV per atom

The structure in Quantum ESPRESSO input format:
```
&SYSTEM
  ibrav = 0, nat = 24, ntyp = 4
/
ATOMIC_SPECIES
Li 6.94 Li.upf
Mn 54.94 Mn.upf
Co 58.93 Co.upf
O 16.00 O.upf
ATOMIC_POSITIONS crystal
Li 0.000 0.000 0.000
Li 0.013 0.500 0.523
Li 0.171 0.000 0.341
Li 0.303 0.500 0.156
Li 0.494 0.000 0.000
Li 0.692 0.500 0.846
Li 0.848 0.000 0.693
Mn 0.664 0.000 0.344
Mn 0.844 0.500 0.174
Co 0.167 0.500 0.846
Co 0.339 0.000 0.679
Co 0.504 0.500 0.511
O 0.070 0.500 0.185
O 0.108 0.000 0.693
O 0.245 0.000 0.991
O 0.277 0.500 0.529
O 0.401 0.500 0.826
O 0.435 0.000 0.358
O 0.567 0.000 0.658
O 0.597 0.500 0.192
O 0.739 0.500 0.496
O 0.757 0.000 0.029
O 0.901 0.000 0.334
O 0.933 0.500 0.841
CELL_PARAMETERS angstrom
7.963 0.000 0.000
0.000 2.815 0.000
-3.874 0.000 8.607
```

=====

Below is a crystal of CrPtBr4 relaxed with PBEsol, with properties calculated at the SCAN level. Values from VASP.

Values from the calculation:
- Raw formation energy: 1231 meV per atom
- Space group: F-43m (216)

The structure in Quantum ESPRESSO input format:
```
&SYSTEM
  ibrav = 0, nat = 6, ntyp = 3
/
ATOMIC_SPECIES
Cr 52.00 Cr.upf
Pt 195.08 Pt.upf
Br 79.90 Br.upf
ATOMIC_POSITIONS crystal
Cr 0.000 0.000 0.000
Pt 0.750 0.750 0.750
Br 0.375 0.375 0.375
Br 0.375 0.375 0.874
Br 0.375 0.874 0.375
Br 0.874 0.375 0.375
CELL_PARAMETERS angstrom
0.000 4.142 4.142
4.142 0.000 4.142
4.142 4.142 0.000
```

=====

Below is a crystal of KBe2Se relaxed with PBEsol, with properties calculated at the SCAN level. Values from VASP.

Values from the calculation:
- Raw formation energy: 423 meV per atom
- Space group: I-42d (122)

The structure in Quantum ESPRESSO input format:
```
&SYSTEM
  ibrav = 0, nat = 8, ntyp = 3
/
ATOMIC_SPECIES
K 39.10 K.upf
Be 9.01 Be.upf
Se 78.96 Se.upf
ATOMIC_POSITIONS crystal
K 0.000 0.000 0.000
K 0.750 0.250 0.500
Be 0.219 0.125 0.594
Be 0.375 0.781 0.906
Be 0.531 0.625 0.406
Be 0.875 0.469 0.094
Se 0.250 0.750 0.500
Se 0.500 0.500 0.000
CELL_PARAMETERS angstrom
-3.721 3.721 3.033
3.721 -3.721 3.033
3.721 3.721 -3.033
```

=====

Below is a crystal of KPb relaxed with PBEsol, with properties calculated at the SCAN level. Values from VASP.

Values from the calculation:
- Space group: Pnma (62)
- ΔE_f: -317.2 meV/atom
- Polymorph energy (0 for the lowest one): 87 meV per atom

The structure in Quantum ESPRESSO input format:
```
&SYSTEM
  ibrav = 0, nat = 8, ntyp = 2
/
ATOMIC_SPECIES
K 39.10 K.upf
Pb 207.20 Pb.upf
ATOMIC_POSITIONS crystal
K 0.176 0.250 0.107
K 0.324 0.750 0.607
K 0.676 0.250 0.393
K 0.824 0.750 0.893
Pb 0.024 0.250 0.626
Pb 0.476 0.750 0.126
Pb 0.524 0.250 0.874
Pb 0.976 0.750 0.374
CELL_PARAMETERS angstrom
9.674 0.000 0.000
0.000 4.715 0.000
0.000 0.000 7.134
```